Entry 1:
# NaTmHg6

NaTmHg6 after structural relaxation (PBE-GGA, Alexandria).

a = 5.1788 Å, b = 6.5398 Å, c = 11.3337 Å
α = 90.00°, β = 90.00°, γ = 90.00°
With the nearest neighbours (Å) after each atom.
Fractional coordinates of all 16 atoms:
1 Na 0.0000 0.0000 0.0000  12 Hg 3.20-3.27
2 Na 0.0000 0.5000 0.5000  12 Hg 3.20-3.27
3 Tm 0.5000 0.0000 0.3335  12 Hg 3.20-3.27
4 Tm 0.5000 0.5000 0.8335  12 Hg 3.20-3.27
5 Hg 0.0000 0.0000 0.4996  2 Tm 3.20, 8 Hg 3.21-3.28, 2 Na 3.27
6 Hg 0.0000 0.2496 0.2501  8 Hg 3.20-3.28, 2 Tm 3.20, 2 Na 3.27
7 Hg 0.0000 0.2504 0.7501  8 Hg 3.20-3.28, 2 Tm 3.20, 2 Na 3.27
8 Hg 0.0000 0.5000 0.9996  2 Tm 3.20, 8 Hg 3.21-3.28, 2 Na 3.27
9 Hg 0.0000 0.7504 0.2501  8 Hg 3.20-3.28, 2 Tm 3.20, 2 Na 3.27
10 Hg 0.0000 0.7496 0.7501  8 Hg 3.20-3.28, 2 Tm 3.20, 2 Na 3.27
11 Hg 0.5000 0.0000 0.8340  2 Na 3.20, 8 Hg 3.21-3.27, 2 Tm 3.27
12 Hg 0.5000 0.2502 0.0837  8 Hg 3.20-3.27, 2 Na 3.21, 2 Tm 3.27
13 Hg 0.5000 0.2498 0.5837  8 Hg 3.20-3.27, 2 Na 3.21, 2 Tm 3.27
14 Hg 0.5000 0.5000 0.3340  2 Na 3.20, 8 Hg 3.21-3.27, 2 Tm 3.27
15 Hg 0.5000 0.7498 0.0837  8 Hg 3.20-3.27, 2 Na 3.21, 2 Tm 3.27
16 Hg 0.5000 0.7502 0.5837  8 Hg 3.20-3.27, 2 Na 3.21, 2 Tm 3.27

Computed properties:
Magnetization: 0.00 Bohr magnetons per cell
Offset from the most stable computed form: 0 meV per atom
Crystal system: orthorhombic

---

Entry 2:
# YMnP2

YMnP2 after structural relaxation (PBE-GGA, Alexandria).

a = 6.3457 Å, b = 6.3457 Å, c = 6.3457 Å
α = 90.00°, β = 90.00°, γ = 90.00°
With the nearest neighbours (Å) after each atom.
Fractional coordinates of all 16 atoms:
1 Y 0.0000 0.0000 0.0000  8 P 2.75
2 Y 0.0000 0.5000 0.5000  8 P 2.75
3 Y 0.5000 0.0000 0.5000  8 P 2.75
4 Y 0.5000 0.5000 0.0000  8 P 2.75
5 Mn 0.0000 0.0000 0.5000  8 P 2.75
6 Mn 0.0000 0.5000 0.0000  8 P 2.75
7 Mn 0.5000 0.0000 0.0000  8 P 2.75
8 Mn 0.5000 0.5000 0.5000  8 P 2.75
9 P 0.2500 0.2500 0.2500  4 Mn 2.75, 4 Y 2.75
10 P 0.2500 0.2500 0.7500  4 Mn 2.75, 4 Y 2.75
11 P 0.2500 0.7500 0.2500  4 Mn 2.75, 4 Y 2.75
12 P 0.2500 0.7500 0.7500  4 Mn 2.75, 4 Y 2.75
13 P 0.7500 0.2500 0.2500  4 Mn 2.75, 4 Y 2.75
14 P 0.7500 0.2500 0.7500  4 Mn 2.75, 4 Y 2.75
15 P 0.7500 0.7500 0.2500  4 Mn 2.75, 4 Y 2.75
16 P 0.7500 0.7500 0.7500  4 Mn 2.75, 4 Y 2.75

Computed properties:
Magnetization: 0.00 Bohr magnetons per cell
Offset from the most stable computed form: 547 meV per atom
Crystal system: cubic

---

Entry 3:
# Tm6In2Cu

Tm6In2Cu after structural relaxation (PBE-GGA, Alexandria).

a = 9.7649 Å, b = 9.7649 Å, c = 4.9468 Å
α = 90.00°, β = 90.00°, γ = 90.00°
With the nearest neighbours (Å) after each atom.
Fractional coordinates of all 18 atoms:
1 Tm 0.0275 0.3133 0.0000  1 Cu 3.07, 3 In 3.15-3.20, 2 Tm 3.43
2 Tm 0.1191 0.8809 0.5000  2 Cu 2.97, 2 In 3.28, 1 Tm 3.29
3 Tm 0.1867 0.5275 0.5000  1 Cu 3.07, 3 In 3.15-3.20, 2 Tm 3.43
4 Tm 0.3133 0.0275 0.0000  1 Cu 3.07, 3 In 3.15-3.20, 2 Tm 3.43
5 Tm 0.3809 0.3809 0.0000  2 Cu 2.97, 2 In 3.28, 1 Tm 3.29
6 Tm 0.4725 0.8133 0.5000  1 Cu 3.07, 3 In 3.15-3.20, 2 Tm 3.43
7 Tm 0.5275 0.1867 0.5000  1 Cu 3.07, 3 In 3.15-3.20, 2 Tm 3.43
8 Tm 0.6191 0.6191 0.0000  2 Cu 2.97, 2 In 3.28, 1 Tm 3.29
9 Tm 0.6867 0.9725 0.0000  1 Cu 3.07, 3 In 3.15-3.20, 2 Tm 3.43
10 Tm 0.8133 0.4725 0.5000  1 Cu 3.07, 3 In 3.15-3.20, 2 Tm 3.43
11 Tm 0.8809 0.1191 0.5000  2 Cu 2.97, 2 In 3.28, 1 Tm 3.29
12 Tm 0.9725 0.6867 0.0000  1 Cu 3.07, 3 In 3.15-3.20, 2 Tm 3.43
13 In 0.2059 0.2059 0.5000  10 Tm 3.15-3.46
14 In 0.2941 0.7059 0.0000  10 Tm 3.15-3.46
15 In 0.7059 0.2941 0.0000  10 Tm 3.15-3.46
16 In 0.7941 0.7941 0.5000  10 Tm 3.15-3.46
17 Cu 0.0000 0.0000 0.0000  8 Tm 2.97-3.07
18 Cu 0.5000 0.5000 0.5000  8 Tm 2.97-3.07

Computed properties:
Magnetization: 0.00 Bohr magnetons per cell
Raw total energy: -4.290 eV/atom
Crystal system: tetragonal

---

Entry 4:
# CeErBeZn

CeErBeZn after structural relaxation (PBE-GGA, Alexandria).

a = 6.9916 Å, b = 6.9916 Å, c = 6.9916 Å
α = 90.00°, β = 90.00°, γ = 90.00°
With the nearest neighbours (Å) after each atom.
Fractional coordinates of all 16 atoms:
1 Ce 0.0000 0.0000 0.0000  4 Be 3.03, 4 Zn 3.03
2 Ce 0.0000 0.5000 0.5000  4 Be 3.03, 4 Zn 3.03
3 Ce 0.5000 0.0000 0.5000  4 Be 3.03, 4 Zn 3.03
4 Ce 0.5000 0.5000 0.0000  4 Be 3.03, 4 Zn 3.03
5 Er 0.0000 0.0000 0.5000  4 Be 3.03, 4 Zn 3.03
6 Er 0.0000 0.5000 0.0000  4 Be 3.03, 4 Zn 3.03
7 Er 0.5000 0.0000 0.0000  4 Be 3.03, 4 Zn 3.03
8 Er 0.5000 0.5000 0.5000  4 Be 3.03, 4 Zn 3.03
9 Be 0.2500 0.2500 0.7500  4 Ce 3.03, 4 Er 3.03
10 Be 0.2500 0.7500 0.2500  4 Ce 3.03, 4 Er 3.03
11 Be 0.7500 0.2500 0.2500  4 Ce 3.03, 4 Er 3.03
12 Be 0.7500 0.7500 0.7500  4 Ce 3.03, 4 Er 3.03
13 Zn 0.2500 0.2500 0.2500  4 Ce 3.03, 4 Er 3.03
14 Zn 0.2500 0.7500 0.7500  4 Ce 3.03, 4 Er 3.03
15 Zn 0.7500 0.2500 0.7500  4 Ce 3.03, 4 Er 3.03
16 Zn 0.7500 0.7500 0.2500  4 Ce 3.03, 4 Er 3.03

Computed properties:
Magnetization: 0.02 Bohr magnetons per cell
Raw total energy: -3.908 eV/atom
Crystal system: cubic

---

Entry 5:
# Sr2TaMn

Sr2TaMn after structural relaxation (PBE-GGA, Alexandria).

a = 6.7222 Å, b = 10.1163 Å, c = 3.2905 Å
α = 90.00°, β = 90.00°, γ = 90.00°
With the nearest neighbours (Å) after each atom.
Fractional coordinates of all 8 atoms:
1 Sr 0.2500 0.2500 0.0000  4 Sr 3.29-3.36, 4 Ta 3.45, 4 Mn 3.45
2 Sr 0.2500 0.7500 0.0000  4 Sr 3.29-3.36, 4 Ta 3.45, 4 Mn 3.45
3 Sr 0.7500 0.2500 0.0000  4 Sr 3.29-3.36, 4 Ta 3.45, 4 Mn 3.45
4 Sr 0.7500 0.7500 0.0000  4 Sr 3.29-3.36, 4 Ta 3.45, 4 Mn 3.45
5 Ta 0.0000 0.0000 0.5000  2 Ta 3.29, 2 Mn 3.36, 8 Sr 3.45
6 Ta 0.5000 0.5000 0.5000  2 Ta 3.29, 2 Mn 3.36, 8 Sr 3.45
7 Mn 0.0000 0.5000 0.5000  2 Mn 3.29, 2 Ta 3.36, 8 Sr 3.45
8 Mn 0.5000 0.0000 0.5000  2 Mn 3.29, 2 Ta 3.36, 8 Sr 3.45

Computed properties:
Magnetization: 5.22 Bohr magnetons per cell
Offset from the most stable computed form: 613 meV per atom
Crystal system: orthorhombic

---

Entry 6:
# BaSnMo3

BaSnMo3 after structural relaxation (PBE-GGA, Alexandria).

a = 5.1221 Å, b = 5.1221 Å, c = 5.1221 Å
α = 90.00°, β = 90.00°, γ = 90.00°
With the nearest neighbours (Å) after each atom.
Fractional coordinates of all 5 atoms:
1 Ba 0.0000 0.0000 0.0000  12 Mo 3.62
2 Sn 0.5000 0.5000 0.5000  6 Mo 2.56
3 Mo 0.0000 0.5000 0.5000  2 Sn 2.56
4 Mo 0.5000 0.0000 0.5000  2 Sn 2.56
5 Mo 0.5000 0.5000 0.0000  2 Sn 2.56

Computed properties:
Magnetization: 1.55 Bohr magnetons per cell
Offset from the most stable computed form: 0 meV per atom
Crystal system: cubic

---

Entry 7:
# K2ScCd

K2ScCd after structural relaxation (PBE-GGA, Alexandria).

a = 3.5693 Å, b = 6.6960 Å, c = 13.5819 Å
α = 90.00°, β = 90.00°, γ = 90.00°
With the nearest neighbours (Å) after each atom.
Fractional coordinates of all 8 atoms:
1 K 0.0000 0.0000 0.0000  2 K 3.57, 4 Cd 3.82
2 K 0.0000 0.5000 0.2024  2 K 3.57, 2 Cd 3.68, 4 Sc 4.00
3 K 0.5000 0.0000 0.7024  2 K 3.57, 2 Cd 3.68, 4 Sc 4.00
4 K 0.5000 0.5000 0.5000  2 K 3.57, 4 Cd 3.82
5 Sc 0.0000 0.5000 0.7946  2 Cd 2.93
6 Sc 0.5000 0.0000 0.2946  2 Cd 2.93
7 Cd 0.0000 0.0000 0.4652  2 Sc 2.93
8 Cd 0.5000 0.5000 0.9652  2 Sc 2.93

Computed properties:
Magnetization: 1.95 Bohr magnetons per cell
Raw total energy: -2.015 eV/atom
Crystal system: orthorhombic

---

Entry 8:
# La2ScCd2

La2ScCd2 after structural relaxation (PBE-GGA, Alexandria).

a = 4.0684 Å, b = 4.0684 Å, c = 19.2357 Å
α = 90.00°, β = 90.00°, γ = 90.00°
With the nearest neighbours (Å) after each atom.
Fractional coordinates of all 10 atoms:
1 La 0.0000 0.0000 0.1033  4 Cd 3.48, 4 Sc 3.50
2 La 0.0000 0.0000 0.8967  4 Cd 3.48, 4 Sc 3.50
3 La 0.5000 0.5000 0.3967  4 Cd 3.48, 4 Sc 3.50
4 La 0.5000 0.5000 0.6033  4 Cd 3.48, 4 Sc 3.50
5 Sc 0.0000 0.0000 0.5000  8 La 3.50
6 Sc 0.5000 0.5000 0.0000  8 La 3.50
7 Cd 0.0000 0.5000 0.2500  4 Cd 2.88
8 Cd 0.0000 0.5000 0.7500  4 Cd 2.88
9 Cd 0.5000 0.0000 0.2500  4 Cd 2.88
10 Cd 0.5000 0.0000 0.7500  4 Cd 2.88

Computed properties:
Magnetization: 0.00 Bohr magnetons per cell
Offset from the most stable computed form: 239 meV per atom
Crystal system: tetragonal

---

Entry 9:
# Tc2MoIr

Tc2MoIr after structural relaxation (PBE-GGA, Alexandria).

a = 2.7509 Å, b = 8.8568 Å, c = 4.8570 Å
α = 90.00°, β = 90.00°, γ = 90.00°
With the nearest neighbours (Å) after each atom.
Fractional coordinates of all 8 atoms:
1 Tc 0.0000 0.2473 0.0000  3 Mo 2.69-2.77, 3 Ir 2.72-2.74, 6 Tc 2.75-2.79
2 Tc 0.0000 0.7527 0.0000  3 Mo 2.69-2.77, 3 Ir 2.72-2.74, 6 Tc 2.75-2.79
3 Tc 0.5000 0.2527 0.5000  3 Mo 2.69-2.77, 3 Ir 2.72-2.74, 6 Tc 2.75-2.79
4 Tc 0.5000 0.7473 0.5000  3 Mo 2.69-2.77, 3 Ir 2.72-2.74, 6 Tc 2.75-2.79
5 Mo 0.0000 0.0000 0.6779  6 Tc 2.69-2.77, 2 Mo 2.75, 4 Ir 2.77-2.81
6 Mo 0.5000 0.5000 0.1779  6 Tc 2.69-2.77, 2 Mo 2.75, 4 Ir 2.77-2.81
7 Ir 0.0000 0.5000 0.6729  6 Tc 2.72-2.74, 2 Ir 2.75, 4 Mo 2.77-2.81
8 Ir 0.5000 0.0000 0.1729  6 Tc 2.72-2.74, 2 Ir 2.75, 4 Mo 2.77-2.81

Computed properties:
Magnetization: 0.00 Bohr magnetons per cell
Offset from the most stable computed form: 0 meV per atom
Crystal system: orthorhombic

---

Entry 10:
# Ba3YMo

Ba3YMo after structural relaxation (PBE-GGA, Alexandria).

a = 6.0109 Å, b = 6.0109 Å, c = 6.0109 Å
α = 90.00°, β = 90.00°, γ = 90.00°
With the nearest neighbours (Å) after each atom.
Fractional coordinates of all 5 atoms:
1 Ba 0.0000 0.0000 0.5000  2 Mo 3.01
2 Ba 0.0000 0.5000 0.0000  2 Mo 3.01
3 Ba 0.5000 0.0000 0.0000  2 Mo 3.01
4 Y 0.5000 0.5000 0.5000  12 Ba 4.25
5 Mo 0.0000 0.0000 0.0000  6 Ba 3.01

Computed properties:
Magnetization: 0.00 Bohr magnetons per cell
Offset from the most stable computed form: 0 meV per atom
Crystal system: cubic

---

Entry 11:
# Ce3HgI8

Ce3HgI8 after structural relaxation (PBE-GGA, Alexandria).

a = 11.3132 Å, b = 11.3132 Å, c = 11.3132 Å
α = 48.09°, β = 48.09°, γ = 48.09°
With the nearest neighbours (Å) after each atom.
Fractional coordinates of all 12 atoms:
1 Ce 0.0000 0.5000 0.5000  6 I 3.17-3.27
2 Ce 0.5000 0.0000 0.5000  6 I 3.17-3.27
3 Ce 0.5000 0.5000 0.0000  6 I 3.17-3.27
4 Hg 0.5000 0.5000 0.5000  6 I 4.13
5 I 0.2307 0.2307 0.7162  2 Ce 3.17
6 I 0.2307 0.7162 0.2307  2 Ce 3.17
7 I 0.2701 0.2701 0.2701  3 Ce 3.27
8 I 0.2838 0.7693 0.7693  2 Ce 3.17
9 I 0.7162 0.2307 0.2307  2 Ce 3.17
10 I 0.7299 0.7299 0.7299  3 Ce 3.27
11 I 0.7693 0.2838 0.7693  2 Ce 3.17
12 I 0.7693 0.7693 0.2838  2 Ce 3.17

Computed properties:
Magnetization: 4.00 Bohr magnetons per cell
Raw formation energy: -1189.1 meV per atom
Crystal system: trigonal

---

Entry 12:
# K2BaMn

K2BaMn after structural relaxation (PBE-GGA, Alexandria).

a = 4.1967 Å, b = 5.3665 Å, c = 19.4315 Å
α = 90.00°, β = 90.00°, γ = 90.00°
With the nearest neighbours (Å) after each atom.
Fractional coordinates of all 8 atoms:
1 K 0.0000 0.0000 0.1685  2 Mn 3.89, 2 K 4.20, 2 Ba 4.23
2 K 0.0000 0.0000 0.8315  2 Mn 3.89, 2 K 4.20, 2 Ba 4.23
3 K 0.5000 0.5000 0.3315  2 Mn 3.89, 2 K 4.20, 2 Ba 4.23
4 K 0.5000 0.5000 0.6685  2 Mn 3.89, 2 K 4.20, 2 Ba 4.23
5 Ba 0.0000 0.5000 0.0000  4 Mn 3.41
6 Ba 0.5000 0.0000 0.5000  4 Mn 3.41
7 Mn 0.0000 0.5000 0.5000  4 Ba 3.41
8 Mn 0.5000 0.0000 0.0000  4 Ba 3.41

Computed properties:
Magnetization: 7.33 Bohr magnetons per cell
Offset from the most stable computed form: 54 meV per atom
Crystal system: orthorhombic